Below is a relaxed structure of CsP2RhCl, with properties calculated at the GGA-PBEsol level.

a b c (Å): 5.366 5.366 5.804
angles (deg): 90.00 90.00 90.00
Last column: magnetic moment on the atom in μB.
Sites, in units of the cell vectors:
Rh  0.500  0.500  0.500  1.75
Cl  0.000  0.000  0.500  0.14
P  0.000  0.500  0.000  0.37
Cs  0.000  0.000  0.000  0.04
P  0.500  0.000  0.000  0.37

Formation energy from raw total energies   2.1451 eV/atom
Calculated density   3311 kg/m3